A plane-wave DFT calculation with GGA-PBE was carried out for a relaxed structure of BaReBi3.

energy of formation: 0.32 eV per atom
calculated total energy: -0.17939 Ha/atom
spin magnetization: 0.0 Bohr magnetons per cell
space-group type: Pm-3m

Cell lengths 5.5034, 5.5034, 5.5034 Å; angles 90.00, 90.00, 90.00 degrees
Closest atoms and distances in Å follow each position.
Atoms (fractional coordinates):
Re 0.0000 0.0000 0.0000  6 Bi 2.75
Bi 0.0000 0.5000 0.0000  2 Re 2.75
Bi 0.0000 0.0000 0.5000  2 Re 2.75
Bi 0.5000 0.0000 0.0000  2 Re 2.75
Ba 0.5000 0.5000 0.5000  12 Bi 3.89